(1)
First-principles (PBE) data for CeSbAs2 after structural relaxation, as listed in Alexandria.

Output
Polymorph energy (0 for the lowest one): 44.5 kJ per mole of atoms
Magnetic moment: 0.0 μB per cell
SG: R-3m (166)
V: 129.3 Å³ per cell

abc: 4.1939 4.1939 8.8294
angles: 76.26 76.26 60.00
Atoms (fractional coordinates):
As: 0.8951 0.8951 0.3147
As: 0.1049 0.1049 0.6853
Ce: 0.5000 0.5000 0.5000
Sb: 0.0000 0.0000 0.0000

***

(2)
First-principles (PBE) data for Ce2SbAs after structural relaxation, as listed in Alexandria.

Output
Magnetic moment: 1.9 μB per cell
Total DFT energy (no corrections): -6.209 eV/atom
SG: R3m (160)
V: 119.8 Å³ per cell

abc: 4.2668 4.2668 7.9905
angles: 74.51 74.51 60.00
Site moments in Bohr magnetons follow the coordinates.
Atoms (fractional coordinates):
As: 0.4983 0.4983 0.5050  -0.04
Ce: 0.2469 0.2469 0.2592  0.87
Ce: 0.0868 0.0868 0.7396  0.77
Sb: 0.6679 0.6679 0.9962  -0.04

***

(3)
First-principles (PBE) data for Ce4SbAs2 after structural relaxation, as listed in Alexandria.

Output
Magnetic moment: 4.5 μB per cell
Total DFT energy (no corrections): -6.266 eV/atom
SG: R-3m (166)
V: 198.9 Å³ per cell

abc: 4.3890 4.3890 12.1888
angles: 79.63 79.63 60.00
Site moments in Bohr magnetons follow the coordinates.
Atoms (fractional coordinates):
Sb: 0.0000 0.0000 0.0000  -0.03
As: 0.7655 0.7655 0.7036  -0.03
As: 0.2345 0.2345 0.2964  -0.03
Ce: 0.1404 0.1404 0.5788  1.02
Ce: 0.6140 0.6140 0.1579  0.78
Ce: 0.8596 0.8596 0.4212  1.02
Ce: 0.3860 0.3860 0.8421  0.78

***

(4)
First-principles (PBE) data for Ce4Sb5As after structural relaxation, as listed in Alexandria.

Output
Magnetic moment: 2.0 μB per cell
Total DFT energy (no corrections): -5.631 eV/atom
SG: C2/m (12)
V: 303.6 Å³ per cell

abc: 5.7088 6.2888 9.4110
angles: 71.53 107.66 90.00
Site moments in Bohr magnetons follow the coordinates.
Atoms (fractional coordinates):
Sb: 0.5000 0.5000 0.0000  -0.03
Sb: 0.8316 0.6830 0.6632  -0.01
Sb: 0.8271 0.1726 0.6542  -0.01
Sb: 0.1729 0.8274 0.3458  -0.01
Sb: 0.1684 0.3170 0.3368  -0.01
Ce: 0.6596 0.0665 0.3192  0.28
Ce: 0.3404 0.9335 0.6808  0.28
Ce: 0.9902 0.2534 0.9804  0.64
Ce: 0.0098 0.7466 0.0196  0.64
As: 0.5000 0.0000 0.0000  -0.03

***

(5)
First-principles (PBE) data for Ce6Sb3As after structural relaxation, as listed in Alexandria.

Output
Magnetic moment: 20.5 μB per cell
Total DFT energy (no corrections): -6.015 eV/atom
SG: P2_1/c (14)
V: 640.8 Å³ per cell

abc: 7.2695 8.4942 10.3771
angles: 90.00 89.82 90.00
Site moments in Bohr magnetons follow the coordinates.
Atoms (fractional coordinates):
Sb: 0.0617 0.6266 0.2475  -0.05
Sb: 0.4383 0.1266 0.2525  -0.05
Sb: 0.5617 0.8734 0.7475  -0.05
Sb: 0.0000 0.0000 0.5000  -0.03
Sb: 0.5000 0.5000 0.0000  -0.03
Sb: 0.9383 0.3734 0.7525  -0.05
Ce: 0.8139 0.9372 0.2411  1.11
Ce: 0.3598 0.8145 0.4355  1.16
Ce: 0.1861 0.0628 0.7589  1.11
Ce: 0.8598 0.6855 0.9355  1.16
Ce: 0.6572 0.1676 0.9383  1.16
Ce: 0.8428 0.6676 0.5617  1.16
Ce: 0.6861 0.4372 0.2589  1.11
Ce: 0.3428 0.8324 0.0617  1.16
Ce: 0.6402 0.1855 0.5645  1.16
Ce: 0.1402 0.3145 0.0645  1.16
Ce: 0.1572 0.3324 0.4383  1.16
Ce: 0.3139 0.5628 0.7411  1.11
As: 0.0000 0.0000 0.0000  -0.04
As: 0.5000 0.5000 0.5000  -0.04

***

(6)
First-principles (PBE) data for Ce3SbAs4 after structural relaxation, as listed in Alexandria.

Output
Magnetic moment: 2.6 μB per cell
Total DFT energy (no corrections): -6.055 eV/atom
SG: Pm-3m (221)
V: 212.8 Å³ per cell

abc: 5.9703 5.9703 5.9703
angles: 90.00 90.00 90.00
Site moments in Bohr magnetons follow the coordinates.
Atoms (fractional coordinates):
Ce: 0.0000 0.5000 0.5000  0.72
Ce: 0.5000 0.5000 0.0000  0.72
Ce: 0.5000 0.0000 0.5000  0.72
As: 0.0000 0.5000 0.0000  -0.02
As: 0.5000 0.5000 0.5000  -0.03
As: 0.0000 0.0000 0.5000  -0.02
As: 0.5000 0.0000 0.0000  -0.02
Sb: 0.0000 0.0000 0.0000  0.02

***

(7)
First-principles (PBE) data for Ce3SbAs2 after structural relaxation, as listed in Alexandria.

Output
Polymorph energy (0 for the lowest one): 0.0 kJ per mole of atoms
Magnetic moment: 4.6 μB per cell
SG: C2/c (15)
V: 340.3 Å³ per cell

abc: 7.4523 7.4738 7.4738
angles: 119.91 99.58 99.58
Site moments in Bohr magnetons follow the coordinates.
Atoms (fractional coordinates):
Ce: 0.9975 0.1437 0.3218  0.69
Ce: 0.4975 0.3218 0.1437  0.69
Ce: 0.0000 0.5000 0.0000  0.72
Ce: 0.0025 0.8563 0.6782  0.69
Ce: 0.5000 0.0000 0.5000  0.72
Ce: 0.5025 0.6782 0.8563  0.69
As: 0.7500 0.0837 0.9163  -0.03
As: 0.7500 0.7457 0.2543  -0.03
As: 0.2500 0.9163 0.0837  -0.03
As: 0.2500 0.2543 0.7457  -0.03
Sb: 0.7500 0.4217 0.5783  -0.03
Sb: 0.2500 0.5783 0.4217  -0.03

***

(8)
First-principles (PBE) data for Ce8Sb5As3 after structural relaxation, as listed in Alexandria.

Output
Magnetic moment: 6.4 μB per cell
Total DFT energy (no corrections): -6.292 eV/atom
SG: R-3m (166)
V: 479.9 Å³ per cell

abc: 8.7695 8.7695 8.8072
angles: 60.14 60.14 60.00
Site moments in Bohr magnetons follow the coordinates.
Atoms (fractional coordinates):
Sb: 0.5000 0.0000 0.0000  -0.03
Sb: 0.5000 0.5000 0.0000  -0.03
Sb: 0.0000 0.0000 0.0000  -0.03
Sb: 0.5000 0.5000 0.5000  -0.03
Sb: 0.0000 0.5000 0.0000  -0.03
Ce: 0.7560 0.7560 0.7319  0.74
Ce: 0.7500 0.2375 0.2625  0.72
Ce: 0.2500 0.2500 0.7375  0.72
Ce: 0.2375 0.7500 0.2625  0.72
Ce: 0.7500 0.7500 0.2625  0.72
Ce: 0.7625 0.2500 0.7375  0.72
Ce: 0.2440 0.2440 0.2681  0.74
Ce: 0.2500 0.7625 0.7375  0.72
As: 0.0000 0.5000 0.5000  -0.03
As: 0.5000 0.0000 0.5000  -0.03
As: 0.0000 0.0000 0.5000  -0.03